Record 1
AlFe2N | Alexandria | GGA-PBE | relaxed; D(E_F) = 4.47 states/eV per cell; final energy = -25.257 eV per formula unit
1.0
0.000 2.739 2.739
2.739 0.000 2.739
2.739 2.739 0.000
Al Fe N
1 2 1
direct
0.000 0.000 0.000
0.250 0.250 0.250
0.750 0.750 0.750
0.500 0.500 0.500

---

Record 2
Sc2CuO2 | Alexandria | GGA-PBE | relaxed; D(E_F) = 2.48 states/eV per cell; final energy = -31.262 eV per formula unit
1.0
4.195 0.000 0.000
0.000 4.195 0.000
0.000 0.000 4.119
Sc Cu O
2 1 2
direct
0.000 0.500 0.000
0.500 0.000 0.000
0.000 0.000 0.500
0.500 0.500 0.000
0.500 0.500 0.500

---

Record 3
AcPd2Au | Alexandria | GGA-PBE | relaxed; D(E_F) = 2.65 states/eV per cell; energy above the lowest structure with this stoichiometry = 156.9 meV/atom; final energy = -20.141 eV per formula unit
1.0
0.000 3.511 3.511
3.511 0.000 3.511
3.511 3.511 0.000
Ac Pd Au
1 2 1
direct
0.000 0.000 0.000
0.250 0.250 0.250
0.750 0.750 0.750
0.500 0.500 0.500

---

Record 4
NaHgPd | Alexandria | GGA-PBE | relaxed; D(E_F) = 2.11 states/eV per cell; energy above the lowest structure with this stoichiometry = 203.6 meV/atom; final energy = -7.062 eV per formula unit
1.0
1.501 -7.703 0.000
1.501 7.703 0.000
0.000 0.000 5.645
Na Hg Pd
2 2 2
direct
0.142 0.858 0.750
0.858 0.142 0.250
0.343 0.657 0.750
0.657 0.343 0.250
0.500 0.500 0.000
0.500 0.500 0.500

---

Question: Look up the final energy of the third one.
Answer: -20.141 eV per formula unit

---

Question: Which value of D(E_F) does entry 3 give?
Answer: 2.65 states/eV per cell

---

Please write out number 1 again, unchanged.
AlFe2N | Alexandria | GGA-PBE | relaxed; D(E_F) = 4.47 states/eV per cell; final energy = -25.257 eV per formula unit
1.0
0.000 2.739 2.739
2.739 0.000 2.739
2.739 2.739 0.000
Al Fe N
1 2 1
direct
0.000 0.000 0.000
0.250 0.250 0.250
0.750 0.750 0.750
0.500 0.500 0.500

---

Question: Which formula does entry 4 have?
Answer: NaHgPd